First-principles (PBE-GGA) data for a relaxed LiZr3 crystal, as listed in Alexandria via LeMat-Bulk.

The structure in POSCAR format:
```
LiZr3
1.0
4.403 0.000 0.000
0.000 4.403 0.000
0.000 0.000 4.403
Li Zr
1 3
Direct
0.000 0.000 0.000
0.000 0.500 0.500
0.500 0.000 0.500
0.500 0.500 0.000
```

Properties
N(E_F): 5.75 states/eV/f.u.
SG: Pm-3m
Energy relative to the elements: 200 meV per atom